Record 1
Below is a relaxed PrTlSe2O8 crystal, with properties calculated at the PBE-GGA level.

Cell: 5.4850 5.4850 9.1087 Å, 72.48 72.48 60.00°
With the nearest neighbours (Å) after each atom.
Element x y z (fractional)
O 0.7361 0.0029 0.8311  1 Se 1.68
O 0.0029 0.4298 0.8311  1 Se 1.68
O 0.4298 0.7361 0.8311  1 Se 1.68
O 0.5702 0.2639 0.1689  1 Se 1.68
O 0.1894 0.1894 0.4318  1 Se 1.65
Se 0.2537 0.2537 0.2389  4 O 1.65-1.68
Pr 0.0000 0.0000 0.0000  6 O 2.40
O 0.8106 0.8106 0.5682  1 Se 1.65
O 0.2639 0.9971 0.1689  1 Se 1.68
Tl 0.5000 0.5000 0.5000  12 O 3.22-3.48
O 0.9971 0.5702 0.1689  1 Se 1.68
Se 0.7463 0.7463 0.7611  4 O 1.65-1.68

## Properties
Density, g cm⁻³: 4.7
Total moment, μB/atom: 0.000
Uncorrected formation energy, kJ/mol of formula units: -1547

Record 2
Below is a relaxed HoThPtSe crystal, with properties calculated at the PBE-GGA level.

Cell: 3.9812 3.9840 7.8620 Å, 90.00 104.67 120.02°
With the nearest neighbours (Å) after each atom.
Element x y z (fractional)
Se 0.1415 0.9687 0.1252  3 Ho 2.95, 3 Th 3.07
Pt 0.4698 0.1328 0.6182  3 Th 2.91, 3 Ho 2.96
Th 0.2948 0.5453 0.8553  3 Pt 2.91, 3 Se 3.07
Ho 0.9718 0.3839 0.3710  3 Se 2.95, 3 Pt 2.96

## Properties
Density, g cm⁻³: 10.8
Total moment, μB/atom: 0.000
Uncorrected formation energy, kJ/mol of formula units: -513

Record 3
Below is a relaxed Pu2Al4Pd3Au crystal, with properties calculated at the PBE-GGA level.

Cell: 4.2723 4.2723 10.5756 Å, 90.00 90.00 90.00°
With the nearest neighbours (Å) after each atom.
Element x y z (fractional)
Au 0.5000 0.5000 0.5000  4 Al 2.56
Pd 0.5000 0.0000 0.8689  5 Al 2.49-2.55
Al 0.0000 0.5000 0.3664  3 Pd 2.49-2.56, 2 Au 2.56
Pd 0.0000 0.5000 0.1311  5 Al 2.49-2.55
Pu 0.0000 0.5000 0.7524  6 Pd 3.26-3.42, 8 Al 3.27-3.38, 2 Au 3.42
Al 0.5000 0.0000 0.6336  3 Pd 2.49-2.56, 2 Au 2.56
Al 0.0000 0.0000 0.0000  4 Pd 2.55
Al 0.5000 0.5000 0.0000  4 Pd 2.55
Pu 0.5000 0.0000 0.2476  6 Pd 3.26-3.42, 8 Al 3.27-3.38, 2 Au 3.42
Pd 0.0000 0.0000 0.5000  4 Al 2.56

## Properties
Density, g cm⁻³: 9.6
Total moment, μB/atom: 1.141
E_form, meV/atom: -605.2

Which value of density does entry 2 give?
10.8 g cm⁻³